Entry from Alexandria via LeMat-Bulk: crystalline NaTiAsBr2 at its relaxed geometry (PBE-GGA).

a = 5.301 Å, b = 5.301 Å, c = 4.910 Å
α = 90.00°, β = 90.00°, γ = 90.00°
Fractional coordinates of all 5 atoms:
Na 0.000 0.000 0.000
Ti 0.500 0.500 0.500
As 0.500 0.500 0.000
Br 0.000 0.500 0.500
Br 0.500 0.000 0.500

## Properties
Its formation energy (no corrections) is -3.4 eV/f.u. Its space group is P4/mmm. Its calculated volume is 27.6 Å³ per atom. As for the density of states at the Fermi level: 2.7 states/eV/f.u.

Entry from Alexandria via LeMat-Bulk: crystalline NaTiAs2Br at its relaxed geometry (PBE-GGA).

a = 4.834 Å, b = 4.834 Å, c = 5.736 Å
α = 90.00°, β = 90.00°, γ = 90.00°
Fractional coordinates of all 5 atoms:
Na 0.000 0.000 0.000
Ti 0.500 0.500 0.500
As 0.000 0.500 0.500
As 0.500 0.000 0.500
Br 0.500 0.500 0.000

## Properties
Its formation energy (no corrections) is -2.3 eV/f.u. Its space group is P4/mmm. Its calculated volume is 26.8 Å³ per atom. As for the density of states at the Fermi level: 1.8 states/eV/f.u.

Entry from Alexandria via LeMat-Bulk: crystalline NaTiAsBr2 at its relaxed geometry (PBE-GGA).

a = 5.050 Å, b = 5.050 Å, c = 5.546 Å
α = 90.00°, β = 90.00°, γ = 90.00°
Fractional coordinates of all 5 atoms:
Na 0.000 0.000 0.000
Ti 0.500 0.500 0.500
As 0.000 0.000 0.500
Br 0.000 0.500 0.000
Br 0.500 0.000 0.000

## Properties
Its formation energy (no corrections) is 2.2 eV/f.u. Its space group is P4/mmm. Its calculated volume is 28.3 Å³ per atom. As for the density of states at the Fermi level: 7.0 states/eV/f.u.

Entry from Alexandria via LeMat-Bulk: crystalline NaTlAsBr2 at its relaxed geometry (PBE-GGA).

a = 5.631 Å, b = 5.631 Å, c = 5.632 Å
α = 90.00°, β = 90.00°, γ = 90.00°
Fractional coordinates of all 5 atoms:
Na 0.000 0.000 0.000
Tl 0.500 0.500 0.500
As 0.000 0.000 0.500
Br 0.000 0.500 0.000
Br 0.500 0.000 0.000

## Properties
Its formation energy (no corrections) is -1.0 eV/f.u. Its space group is P4/mmm. Its calculated volume is 35.7 Å³ per atom. As for the density of states at the Fermi level: 0.1 states/eV/f.u.

Entry from Alexandria via LeMat-Bulk: crystalline Na2TlAsBr6 at its relaxed geometry (PBE-GGA).

a = 8.095 Å, b = 8.095 Å, c = 8.095 Å
α = 55.16°, β = 55.16°, γ = 55.16°
Fractional coordinates of all 10 atoms:
Na 0.000 0.000 0.000
Na 0.480 0.480 0.480
Tl 0.189 0.189 0.189
As 0.673 0.673 0.673
Br 0.045 0.439 0.756
Br 0.299 0.860 0.623
Br 0.439 0.756 0.045
Br 0.623 0.299 0.860
Br 0.756 0.045 0.439
Br 0.860 0.623 0.299

## Properties
Its formation energy (no corrections) is -9.4 eV/f.u. Its space group is R3. Its calculated volume is 33.3 Å³ per atom. As for the density of states at the Fermi level: 0.0 states/eV/f.u.

Entry from Alexandria via LeMat-Bulk: crystalline NaTlAsBr2 at its relaxed geometry (PBE-GGA).

a = 6.039 Å, b = 6.039 Å, c = 5.440 Å
α = 90.00°, β = 90.00°, γ = 90.00°
Fractional coordinates of all 5 atoms:
Na 0.000 0.000 0.000
Tl 0.500 0.500 0.500
As 0.500 0.500 0.000
Br 0.000 0.500 0.500
Br 0.500 0.000 0.500

## Properties
Its formation energy (no corrections) is -1.2 eV/f.u. Its space group is P4/mmm. Its calculated volume is 39.7 Å³ per atom. As for the density of states at the Fermi level: 1.2 states/eV/f.u.

Entry from Alexandria via LeMat-Bulk: crystalline NaTl2AsBr6 at its relaxed geometry (PBE-GGA).

a = 7.785 Å, b = 7.785 Å, c = 7.785 Å
α = 60.66°, β = 60.66°, γ = 60.66°
Fractional coordinates of all 10 atoms:
Na 0.000 0.000 0.000
Tl 0.225 0.225 0.225
Tl 0.727 0.727 0.727
As 0.505 0.505 0.505
Br 0.192 0.346 0.741
Br 0.284 0.821 0.660
Br 0.346 0.741 0.192
Br 0.660 0.284 0.821
Br 0.741 0.192 0.346
Br 0.821 0.660 0.284

## Properties
Its formation energy (no corrections) is -8.1 eV/f.u. Its space group is R3. Its calculated volume is 33.9 Å³ per atom. As for the density of states at the Fermi level: 0.0 states/eV/f.u.

Entry from Alexandria via LeMat-Bulk: crystalline NaVAs2Br at its relaxed geometry (PBE-GGA).

a = 4.998 Å, b = 4.998 Å, c = 5.240 Å
α = 90.00°, β = 90.00°, γ = 90.00°
Fractional coordinates of all 5 atoms:
Na 0.000 0.000 0.000
V 0.500 0.500 0.500
As 0.000 0.500 0.000
As 0.500 0.000 0.000
Br 0.000 0.000 0.500

## Properties
Its formation energy (no corrections) is 5.0 eV/f.u. Its space group is P4/mmm. Its calculated volume is 26.2 Å³ per atom. As for the density of states at the Fermi level: 7.8 states/eV/f.u.

Entry from Alexandria via LeMat-Bulk: crystalline Na2VAsBr at its relaxed geometry (PBE-GGA).

a = 6.114 Å, b = 6.114 Å, c = 4.638 Å
α = 90.00°, β = 90.00°, γ = 90.00°
Fractional coordinates of all 5 atoms:
Na 0.000 0.500 0.000
Na 0.500 0.000 0.000
V 0.000 0.000 0.000
As 0.000 0.000 0.500
Br 0.500 0.500 0.500

## Properties
Its formation energy (no corrections) is 0.2 eV/f.u. Its space group is P4/mmm. Its calculated volume is 34.7 Å³ per atom. As for the density of states at the Fermi level: 3.6 states/eV/f.u.

Entry from Alexandria via LeMat-Bulk: crystalline NaVAs2Br at its relaxed geometry (PBE-GGA).

a = 4.674 Å, b = 4.674 Å, c = 5.855 Å
α = 90.00°, β = 90.00°, γ = 90.00°
Fractional coordinates of all 5 atoms:
Na 0.000 0.000 0.000
V 0.500 0.500 0.500
As 0.000 0.500 0.500
As 0.500 0.000 0.500
Br 0.500 0.500 0.000

## Properties
Its formation energy (no corrections) is -1.4 eV/f.u. Its space group is P4/mmm. Its calculated volume is 25.6 Å³ per atom. As for the density of states at the Fermi level: 2.4 states/eV/f.u.

Entry from Alexandria via LeMat-Bulk: crystalline NaZnAsBr2 at its relaxed geometry (PBE-GGA).

a = 5.355 Å, b = 5.355 Å, c = 5.878 Å
α = 90.00°, β = 90.00°, γ = 90.00°
Fractional coordinates of all 5 atoms:
Na 0.000 0.000 0.000
Zn 0.500 0.500 0.500
As 0.000 0.000 0.500
Br 0.000 0.500 0.000
Br 0.500 0.000 0.000

## Properties
Its formation energy (no corrections) is 1.3 eV/f.u. Its space group is P4/mmm. Its calculated volume is 33.7 Å³ per atom. As for the density of states at the Fermi level: 4.0 states/eV/f.u.

Entry from Alexandria via LeMat-Bulk: crystalline NaZnAs2Br at its relaxed geometry (PBE-GGA).

a = 5.272 Å, b = 5.272 Å, c = 5.267 Å
α = 90.00°, β = 90.00°, γ = 90.00°
Fractional coordinates of all 5 atoms:
Na 0.000 0.000 0.000
Zn 0.500 0.500 0.500
As 0.000 0.500 0.000
As 0.500 0.000 0.000
Br 0.000 0.000 0.500

## Properties
Its formation energy (no corrections) is 3.9 eV/f.u. Its space group is P4/mmm. Its calculated volume is 29.3 Å³ per atom. As for the density of states at the Fermi level: 4.3 states/eV/f.u.